[1]
An optimized crystal structure of Nd5HoTl. Source: Alexandria via LeMat-Bulk, functional GGA-PBE.

For the formation energy, the calculation gives 16 kJ/mol of atoms. The energy is -4.23 eV/atom.

The space group is P4/mmm (No. 123) and the conventional cell measures 4.853, 4.853 and 10.432 Å, with angles of 90.00, 90.00 and 90.00 degrees. Symmetry generates all atoms from Nd at (0.000, 0.000, 0.000), Nd at (0.000, 0.500, 0.246), Ho at (0.500, 0.500, 0.500) and Tl at (0.500, 0.500, 0.000).

[2]
An optimized crystal structure of Nd2HoTl9. Source: Alexandria via LeMat-Bulk, functional GGA-PBE.

For the formation energy, the calculation gives -27 kJ/mol of atoms. The energy is -3.24 eV/atom.

The space group is P4/mmm (No. 123) and the conventional cell measures 4.811, 4.811 and 14.427 Å, with angles of 90.00, 90.00 and 90.00 degrees. Symmetry generates all atoms from Nd at (0.000, 0.000, 0.168), Ho at (0.000, 0.000, 0.500), Tl at (0.000, 0.500, 0.000), Tl at (0.000, 0.500, 0.337), Tl at (0.500, 0.500, 0.168) and Tl at (0.500, 0.500, 0.500).

[3]
An optimized crystal structure of Nd3Ho6Tl. Source: Alexandria via LeMat-Bulk, functional GGA-PBE.

Its offset from the most stable computed form is 0.0000 eV/atom. For the formation energy, the calculation gives 0 kJ/mol of atoms. The energy is -4.42 eV/atom.

The space group is P2_1/m (No. 11) and the conventional cell measures 12.965, 3.574 and 14.523 Å, with angles of 90.00, 108.62 and 90.00 degrees. Symmetry generates all atoms from Nd at (0.010, 0.250, 0.396), Nd at (0.377, 0.250, 0.000), Nd at (0.466, 0.250, 0.592), Ho at (0.137, 0.750, 0.023), Ho at (0.144, 0.250, 0.811), Ho at (0.217, 0.250, 0.600), Ho at (0.251, 0.750, 0.394), Ho at (0.331, 0.250, 0.218), Ho at (0.383, 0.750, 0.790) and Tl at (0.076, 0.250, 0.192).

[4]
An optimized crystal structure of NdHo2Tl. Source: Alexandria via LeMat-Bulk, functional GGA-PBE.

Its offset from the most stable computed form is 0.0075 eV/atom. For the formation energy, the calculation gives -17 kJ/mol of atoms. The energy is -4.25 eV/atom.

The space group is P4/mmm (No. 123) and the conventional cell measures 3.645, 3.645 and 9.140 Å, with angles of 90.00, 90.00 and 90.00 degrees. Symmetry generates all atoms from Nd at (0.000, 0.000, 0.000), Ho at (0.500, 0.500, 0.276) and Tl at (0.000, 0.000, 0.500).

[5]
An optimized crystal structure of Nd5Ho2Tl4. Source: Alexandria via LeMat-Bulk, functional GGA-PBE.

For the formation energy, the calculation gives -4 kJ/mol of atoms. The energy is -3.90 eV/atom.

The space group is C2/m (No. 12) and the conventional cell measures 24.746, 3.521 and 8.140 Å, with angles of 90.00, 92.99 and 90.00 degrees. Symmetry generates all atoms from Nd at (0.000, 0.000, 0.000), Nd at (0.141, 0.500, 0.125), Nd at (0.233, 0.500, 0.786), Ho at (0.090, 0.500, 0.718), Tl at (0.038, 0.500, 0.352) and Tl at (0.165, 0.000, 0.473).

[6]
An optimized crystal structure of NdHo2Tl. Source: Alexandria via LeMat-Bulk, functional GGA-PBE.

Its offset from the most stable computed form is 0.0000 eV/atom. For the formation energy, the calculation gives -17 kJ/mol of atoms. The energy is -4.25 eV/atom.

The space group is P4/mmm (No. 123) and the conventional cell measures 4.914, 4.914 and 4.841 Å, with angles of 90.00, 90.00 and 90.00 degrees. Symmetry generates all atoms from Nd at (0.000, 0.000, 0.000), Ho at (0.000, 0.500, 0.500) and Tl at (0.500, 0.500, 0.000).

[7]
An optimized crystal structure of NdHo2Tl4. Source: Alexandria via LeMat-Bulk, functional GGA-PBE.

Its offset from the most stable computed form is 0.0000 eV/atom. For the formation energy, the calculation gives -21 kJ/mol of atoms. The energy is -3.56 eV/atom.

The space group is I4/mmm (No. 139) and the conventional cell measures 7.681, 7.681 and 7.280 Å, with angles of 90.00, 90.00 and 90.00 degrees. Symmetry generates all atoms from Nd at (0.000, 0.000, 0.000), Ho at (0.000, 0.500, 0.000) and Tl at (0.250, 0.250, 0.250).

[8]
An optimized crystal structure of Nd3HoTl4. Source: Alexandria via LeMat-Bulk, functional GGA-PBE.

Its offset from the most stable computed form is 0.0000 eV/atom. For the formation energy, the calculation gives -37 kJ/mol of atoms. The energy is -3.92 eV/atom.

The space group is P4/mmm (No. 123) and the conventional cell measures 3.847, 3.847 and 15.714 Å, with angles of 90.00, 90.00 and 90.00 degrees. Symmetry generates all atoms from Nd at (0.000, 0.000, 0.000), Nd at (0.000, 0.000, 0.256), Ho at (0.000, 0.000, 0.500), Tl at (0.500, 0.500, 0.128) and Tl at (0.500, 0.500, 0.385).